The following is a PBE calculation of a geometry-optimized Pa3Br2O8 structure, from the Alexandria database.

POSCAR file:
```
Pa3Br2O8
1.0
6.2145 -0.6519 -0.2330
-1.3968 6.4269 3.2985
-1.9188 0.0919 7.1025
O Br Pa
8 2 3
direct
0.6518 0.5958 0.5958
0.7043 0.0864 0.0864
0.2429 0.2799 0.8550
0.2429 0.8550 0.2799
0.7571 0.7201 0.1450
0.2957 0.9136 0.9136
0.7571 0.1450 0.7201
0.3482 0.4042 0.4042
0.0389 0.2579 0.2579
0.9611 0.7421 0.7421
0.5000 0.2494 0.7506
0.0000 0.0000 0.0000
0.5000 0.7506 0.2494
```

## Properties
The size of the total moment comes out at 0.004 μB per atom. The value obtained for the electronic total energy is -8.1094 eV/atom. As for the space-group type: C2/m, No. 12. The uncorrected formation energy comes out at -2.609 eV/atom.